Entry 1:
# Sr2CaTl6, optimized geometry, DFT PBE
data_Sr2CaTl6
_cell_length_a 9.2818
_cell_length_b 9.2818
_cell_length_c 3.8296
_cell_angle_alpha 90.32
_cell_angle_beta 90.32
_cell_angle_gamma 60.07
_space_group_name_H-M_alt 'P 1'
_space_group_IT_number 1
_space_group_name_Hall 'P 1'
loop_
_atom_site_label
_atom_site_type_symbol
_atom_site_fract_x
_atom_site_fract_y
_atom_site_fract_z
_atom_site_occupancy
Sr1 Sr 0.1655 0.1655 0.0001 1
Sr2 Sr 0.8345 0.8345 0.9999 1
Ca1 Ca 0.5000 0.5000 0.0000 1
Tl1 Tl 0.1688 0.4996 0.5501 1
Tl2 Tl 0.1707 0.8293 0.5000 1
Tl3 Tl 0.4996 0.1688 0.5501 1
Tl4 Tl 0.5004 0.8312 0.4499 1
Tl5 Tl 0.8293 0.1707 0.5000 1
Tl6 Tl 0.8312 0.5004 0.4499 1
# - Formation enthalpy at 0 K: -0.27 eV/atom
# - Energy relative to the lowest polymorph listed for this composition: 4.9 meV per atom
# - Space group: No. 12

=====

Entry 2:
# Sr6CaTl, optimized geometry, DFT PBE
data_Sr6CaTl
_cell_length_a 7.4613
_cell_length_b 7.4657
_cell_length_c 7.4674
_cell_angle_alpha 97.38
_cell_angle_beta 97.51
_cell_angle_gamma 97.67
_space_group_name_H-M_alt 'P 1'
_space_group_IT_number 1
_space_group_name_Hall 'P 1'
loop_
_atom_site_label
_atom_site_type_symbol
_atom_site_fract_x
_atom_site_fract_y
_atom_site_fract_z
_atom_site_occupancy
Sr1 Sr 0.0505 0.2719 0.1000 1
Sr2 Sr 0.2280 0.9005 0.4487 1
Sr3 Sr 0.4003 0.4490 0.7282 1
Sr4 Sr 0.5997 0.5510 0.2718 1
Sr5 Sr 0.7720 0.0995 0.5513 1
Sr6 Sr 0.9495 0.7281 0.9000 1
Ca1 Ca 0.5000 0.0000 0.0000 1
Tl1 Tl 0.0000 0.5000 0.5000 1
# - Formation enthalpy at 0 K: -0.03 eV/atom
# - Energy relative to the lowest polymorph listed for this composition: 18.9 meV per atom
# - Space group: No. 2

=====

Entry 3:
# SrCaTl2, optimized geometry, DFT PBE
data_SrCaTl2
_cell_length_a 4.0452
_cell_length_b 4.8219
_cell_length_c 7.1432
_cell_angle_alpha 90.00
_cell_angle_beta 90.00
_cell_angle_gamma 90.00
_space_group_name_H-M_alt 'P 1'
_space_group_IT_number 1
_space_group_name_Hall 'P 1'
loop_
_atom_site_label
_atom_site_type_symbol
_atom_site_fract_x
_atom_site_fract_y
_atom_site_fract_z
_atom_site_occupancy
Sr1 Sr 0.0000 0.0000 0.0000 1
Ca1 Ca 0.5000 0.5000 0.6544 1
Tl1 Tl 0.0000 0.0000 0.4786 1
Tl2 Tl 0.5000 0.5000 0.2089 1
# - Formation enthalpy at 0 K: -0.22 eV/atom
# - Space group: No. 25

=====

Entry 4:
# Sr6CaTl4, optimized geometry, DFT PBE
data_Sr6CaTl4
_cell_length_a 11.8231
_cell_length_b 11.8231
_cell_length_c 7.2381
_cell_angle_alpha 90.00
_cell_angle_beta 90.00
_cell_angle_gamma 120.00
_space_group_name_H-M_alt 'P 1'
_space_group_IT_number 1
_space_group_name_Hall 'P 1'
loop_
_atom_site_label
_atom_site_type_symbol
_atom_site_fract_x
_atom_site_fract_y
_atom_site_fract_z
_atom_site_occupancy
Sr1 Sr 0.0297 0.5149 0.0000 1
Sr2 Sr 0.1410 0.2819 0.7138 1
Sr3 Sr 0.1410 0.8590 0.7138 1
Sr4 Sr 0.2819 0.1410 0.2138 1
Sr5 Sr 0.4851 0.5149 0.0000 1
Sr6 Sr 0.4851 0.9703 0.0000 1
Sr7 Sr 0.5149 0.0297 0.5000 1
Sr8 Sr 0.5149 0.4851 0.5000 1
Sr9 Sr 0.7181 0.8590 0.7138 1
Sr10 Sr 0.8590 0.1410 0.2138 1
Sr11 Sr 0.8590 0.7181 0.2138 1
Sr12 Sr 0.9703 0.4851 0.5000 1
Ca1 Ca 0.3333 0.6667 0.3584 1
Ca2 Ca 0.6667 0.3333 0.8584 1
Tl1 Tl 0.1854 0.3708 0.2242 1
Tl2 Tl 0.1854 0.8146 0.2242 1
Tl3 Tl 0.3333 0.6667 0.8068 1
Tl4 Tl 0.3708 0.1854 0.7242 1
Tl5 Tl 0.6292 0.8146 0.2242 1
Tl6 Tl 0.6667 0.3333 0.3068 1
Tl7 Tl 0.8146 0.1854 0.7242 1
Tl8 Tl 0.8146 0.6292 0.7242 1
# - Formation enthalpy at 0 K: -0.28 eV/atom
# - Space group: No. 186

=====

Entry 5:
# SrCa3Tl12, optimized geometry, DFT PBE
data_SrCa3Tl12
_cell_length_a 4.9464
_cell_length_b 4.9464
_cell_length_c 19.1831
_cell_angle_alpha 90.00
_cell_angle_beta 90.00
_cell_angle_gamma 90.00
_space_group_name_H-M_alt 'P 1'
_space_group_IT_number 1
_space_group_name_Hall 'P 1'
loop_
_atom_site_label
_atom_site_type_symbol
_atom_site_fract_x
_atom_site_fract_y
_atom_site_fract_z
_atom_site_occupancy
Sr1 Sr 0.0000 0.0000 0.0000 1
Ca1 Ca 0.0000 0.0000 0.2543 1
Ca2 Ca 0.0000 0.0000 0.5000 1
Ca3 Ca 0.0000 0.0000 0.7457 1
Tl1 Tl 0.0000 0.5000 0.1301 1
Tl2 Tl 0.0000 0.5000 0.3768 1
Tl3 Tl 0.0000 0.5000 0.6232 1
Tl4 Tl 0.0000 0.5000 0.8699 1
Tl5 Tl 0.5000 0.0000 0.1301 1
Tl6 Tl 0.5000 0.0000 0.3768 1
Tl7 Tl 0.5000 0.0000 0.6232 1
Tl8 Tl 0.5000 0.0000 0.8699 1
Tl9 Tl 0.5000 0.5000 0.0000 1
Tl10 Tl 0.5000 0.5000 0.2524 1
Tl11 Tl 0.5000 0.5000 0.5000 1
Tl12 Tl 0.5000 0.5000 0.7476 1
# - Formation enthalpy at 0 K: -0.24 eV/atom
# - Space group: No. 123

=====

Entry 6:
# SrCaTl2, optimized geometry, DFT PBE
data_SrCaTl2
_cell_length_a 12.4500
_cell_length_b 3.8331
_cell_length_c 5.7916
_cell_angle_alpha 90.00
_cell_angle_beta 107.65
_cell_angle_gamma 90.00
_space_group_name_H-M_alt 'P 1'
_space_group_IT_number 1
_space_group_name_Hall 'P 1'
loop_
_atom_site_label
_atom_site_type_symbol
_atom_site_fract_x
_atom_site_fract_y
_atom_site_fract_z
_atom_site_occupancy
Sr1 Sr 0.0000 0.0000 0.0000 1
Sr2 Sr 0.5000 0.5000 0.0000 1
Ca1 Ca 0.2872 0.5000 0.3590 1
Ca2 Ca 0.7872 0.0000 0.3590 1
Tl1 Tl 0.0405 0.5000 0.5165 1
Tl2 Tl 0.2484 0.0000 0.8308 1
Tl3 Tl 0.5405 0.0000 0.5165 1
Tl4 Tl 0.7484 0.5000 0.8308 1
# - Formation enthalpy at 0 K: -0.32 eV/atom
# - Space group: No. 8

=====

Entry 7:
# SrCa2Tl, optimized geometry, DFT PBE
data_SrCa2Tl
_cell_length_a 3.9856
_cell_length_b 5.4764
_cell_length_c 7.3194
_cell_angle_alpha 90.00
_cell_angle_beta 105.09
_cell_angle_gamma 90.00
_space_group_name_H-M_alt 'P 1'
_space_group_IT_number 1
_space_group_name_Hall 'P 1'
loop_
_atom_site_label
_atom_site_type_symbol
_atom_site_fract_x
_atom_site_fract_y
_atom_site_fract_z
_atom_site_occupancy
Sr1 Sr 0.0000 0.0000 0.0000 1
Ca1 Ca 0.3813 0.5000 0.7176 1
Ca2 Ca 0.6187 0.5000 0.2824 1
Tl1 Tl 0.0000 0.0000 0.5000 1
# - Formation enthalpy at 0 K: -0.13 eV/atom
# - Energy relative to the lowest polymorph listed for this composition: 118.4 meV per atom
# - Space group: No. 10

=====

Entry 8:
# Sr4CaTl, optimized geometry, DFT PBE
data_Sr4CaTl
_cell_length_a 4.1379
_cell_length_b 4.1379
_cell_length_c 16.0841
_cell_angle_alpha 90.00
_cell_angle_beta 90.00
_cell_angle_gamma 90.00
_space_group_name_H-M_alt 'P 1'
_space_group_IT_number 1
_space_group_name_Hall 'P 1'
loop_
_atom_site_label
_atom_site_type_symbol
_atom_site_fract_x
_atom_site_fract_y
_atom_site_fract_z
_atom_site_occupancy
Sr1 Sr 0.0000 0.0000 0.1241 1
Sr2 Sr 0.0000 0.0000 0.8759 1
Sr3 Sr 0.5000 0.5000 0.3242 1
Sr4 Sr 0.5000 0.5000 0.6758 1
Ca1 Ca 0.0000 0.0000 0.5000 1
Tl1 Tl 0.5000 0.5000 0.0000 1
# - Formation enthalpy at 0 K: -0.13 eV/atom
# - Energy relative to the lowest polymorph listed for this composition: 0.0 meV per atom
# - Space group: No. 123